A plane-wave DFT calculation with GGA-PBE was carried out for a relaxed structure of NaLaC3.

Structure (POSCAR):
```
NaLaC3
1.0
4.660 0.000 0.000
0.000 4.660 0.000
0.000 0.000 4.660
C Na La
3 1 1
direct
0.000 0.500 0.000
0.000 0.000 0.500
0.500 0.000 0.000
0.500 0.500 0.500
0.000 0.000 0.000
```

Computed properties:
Space group: Pm-3m
Energy relative to the lowest polymorph listed for this composition, meV per atom: 131
ΔE_f, eV per atom: 2.458
Fermi-level density of states, states/eV/f.u.: 4.916

***

A plane-wave DFT calculation with GGA-PBE was carried out for a relaxed structure of Cs6SI2O.

Structure (POSCAR):
```
Cs6SI2O
1.0
8.789 0.000 0.000
0.000 9.157 0.000
0.000 0.000 12.568
Cs I O S
12 4 2 2
direct
0.748 0.555 0.000
0.248 0.445 0.500
0.252 0.555 0.000
0.000 0.773 0.766
0.500 0.227 0.734
0.232 0.009 0.000
0.752 0.445 0.500
0.000 0.773 0.234
0.768 0.009 0.000
0.732 0.991 0.500
0.500 0.227 0.266
0.268 0.991 0.500
0.500 0.784 0.766
0.500 0.784 0.234
0.000 0.216 0.266
0.000 0.216 0.734
0.000 0.763 0.000
0.500 0.237 0.500
0.500 0.272 0.000
0.000 0.728 0.500
```

Computed properties:
Formation energy (no corrections), eV per atom: -1.171
Space group: Pmmn

***

A plane-wave DFT calculation with GGA-PBE was carried out for a relaxed structure of HfRhSe3.

Structure (POSCAR):
```
HfRhSe3
1.0
-1.930 0.949 4.297
-3.831 -2.673 -1.130
2.167 -3.879 1.830
Se Hf Rh
3 1 1
direct
0.000 0.500 0.000
0.500 0.000 0.000
0.000 0.000 0.500
0.500 0.500 0.500
0.000 0.000 0.000
```

Computed properties:
Formation energy (no corrections), eV per atom: 0.179
Space group: Pm-3m
Energy relative to the lowest polymorph listed for this composition, meV per atom: 8
Fermi-level density of states, states/eV/f.u.: 2.835

***

A plane-wave DFT calculation with GGA-PBE was carried out for a relaxed structure of Fe2IrRh6.

Structure (POSCAR):
```
Fe2IrRh6
1.0
-0.795 0.816 2.462
5.077 -4.307 3.067
1.646 6.922 -1.762
Rh Ir Fe
6 1 2
direct
0.752 0.675 0.035
0.752 0.965 0.640
0.248 0.640 0.675
0.248 0.035 0.360
0.752 0.360 0.325
0.248 0.325 0.965
0.500 0.000 0.000
0.259 0.667 0.333
0.741 0.333 0.667
```

Computed properties:
Space group: P-3
Energy relative to the lowest polymorph listed for this composition, meV per atom: 113
ΔE_f, eV per atom: 0.097
Fermi-level density of states, states/eV/f.u.: 13.088

***

A plane-wave DFT calculation with GGA-PBE was carried out for a relaxed structure of NaPbF3.

Structure (POSCAR):
```
NaPbF3
1.0
4.809 0.000 0.000
0.000 4.809 0.000
0.000 0.000 4.809
F Na Pb
3 1 1
direct
0.500 0.000 0.000
0.000 0.000 0.500
0.000 0.500 0.000
0.500 0.500 0.500
0.000 0.000 0.000
```

Computed properties:
Formation energy (no corrections), eV per atom: -2.259
Space group: Pm-3m
Energy relative to the lowest polymorph listed for this composition, meV per atom: 262
Fermi-level density of states, states/eV/f.u.: 0.000

***

A plane-wave DFT calculation with GGA-PBE was carried out for a relaxed structure of Ba2CaSi.

Structure (POSCAR):
```
Ba2CaSi
1.0
-1.292 3.825 -5.098
-4.768 -2.457 -3.677
0.557 1.135 6.379
Si Ba Ca
1 2 1
direct
0.750 0.250 0.500
0.000 0.000 0.000
0.250 0.750 0.500
0.500 0.500 0.000
```

Computed properties:
Formation energy (no corrections), eV per atom: 0.064
Space group: I-4m2
Energy relative to the lowest polymorph listed for this composition, meV per atom: 203
Fermi-level density of states, states/eV/f.u.: 4.068